[1]
# In3GeH

In3GeH after structural relaxation (PBEsol, the Alexandria database).

Results
Final energy = -2.628 eV/atom

Cell: 5.2820 5.2820 5.2820 Å, 90.00 90.00 90.00°
Space group Pm-3m (No. 221)
Symmetry-distinct sites (fractional):
1 In 0.0000 0.0000 0.5000 (multiplicity 3)
2 Ge 0.0000 0.0000 0.0000 (multiplicity 1)
3 H 0.5000 0.5000 0.5000 (multiplicity 1)

***

[2]
# FeAg2Os

FeAg2Os after structural relaxation (PBEsol, the Alexandria database).

Results
Formation energy from the elements = 0.3109 eV/atom
Offset from the most stable computed form = 0 kJ/mol of formula units

Cell: 2.7223 2.7223 7.7706 Å, 90.00 90.00 90.00°
Space group P4mm (No. 99)
Symmetry-distinct sites (fractional):
1 Fe 0.0000 0.0000 0.0000 (multiplicity 1)
2 Ag 0.0000 0.0000 0.4679 (multiplicity 1)
3 Ag 0.5000 0.5000 0.7447 (multiplicity 1)
4 Os 0.5000 0.5000 0.1892 (multiplicity 1)

***

[3]
# SiBiMo3

SiBiMo3 after structural relaxation (PBEsol, the Alexandria database).

Results
Formation energy from raw total energies = 268.3 kJ per mole of atoms

Cell: 4.9385 4.9385 4.9385 Å, 90.00 90.00 90.00°
Space group Pm-3m (No. 221)
Symmetry-distinct sites (fractional):
1 Si 0.0000 0.0000 0.0000 (multiplicity 1)
2 Bi 0.5000 0.5000 0.5000 (multiplicity 1)
3 Mo 0.0000 0.5000 0.5000 (multiplicity 3)

***

[4]
# LaYIn2

LaYIn2 after structural relaxation (PBEsol, the Alexandria database).

Results
Formation energy from the elements = -0.2439 eV/atom

Cell: 3.5854 3.5854 8.7956 Å, 90.00 90.00 90.00°
Space group P4mm (No. 99)
Symmetry-distinct sites (fractional):
1 La 0.0000 0.0000 0.0000 (multiplicity 1)
2 Y 0.5000 0.5000 0.3093 (multiplicity 1)
3 In 0.0000 0.0000 0.5416 (multiplicity 1)
4 In 0.5000 0.5000 0.7426 (multiplicity 1)

***

[5]
# Be4C

Be4C after structural relaxation (PBEsol, the Alexandria database).

Results
Formation energy from the elements = 0.9675 eV/atom

Cell: 2.6193 2.6193 12.0131 Å, 90.00 90.00 90.00°
Space group I4/mmm (No. 139)
Symmetry-distinct sites (fractional):
1 Be 0.0000 0.0000 0.0860 (multiplicity 4)
2 Be 0.0000 0.5000 0.2500 (multiplicity 4)
3 C 0.0000 0.0000 0.5000 (multiplicity 2)

***

[6]
# FeRhAu

FeRhAu after structural relaxation (PBEsol, the Alexandria database).

Results
Formation energy from the elements = 0.0920 eV/atom
Offset from the most stable computed form = 0 kJ/mol of formula units

Cell: 2.7604 2.7604 11.0765 Å, 90.00 90.00 90.00°
Space group I4mm (No. 107)
Symmetry-distinct sites (fractional):
1 Fe 0.0000 0.0000 0.0000 (multiplicity 2)
2 Rh 0.0000 0.0000 0.6435 (multiplicity 2)
3 Au 0.0000 0.0000 0.3297 (multiplicity 2)